## ZrMn2SbO6 (GGA+U)

Data for ZrMn2SbO6 after structural relaxation.

Results
- DFT total energy (eV per atom) = -7.7003

The structure in extended XYZ format:
```
10
Lattice="5.315 0.000 0.000 2.419 4.927 0.000 2.351 1.820 4.968" Properties=species:S:1:pos:R:3 pbc="T T T"
Zr 0.000 0.000 0.000
Mn 2.488 1.767 0.480
Mn 7.562 5.016 3.146
Sb 5.043 3.185 2.283
O 3.315 3.449 4.102
O 3.889 5.369 1.431
O 5.696 5.012 4.291
O 4.225 1.396 1.460
O 5.862 2.011 3.839
O 6.974 3.520 1.499
```